Entry from Alexandria: an optimized crystal structure of TaSi2HI (PBE).

Output
The value obtained for the spin magnetization is 0.000 Bohr magnetons per cell. The value obtained for the density is 7.300 g cm⁻³. As for the total energy: -23.27 eV for the cell shown.

Structure (POSCAR):
```
TaSi2HI
1.0
4.883 0.000 0.000
0.000 4.883 0.000
0.000 0.000 3.483
Ta Si H I
1 2 1 1
Cartesian
0.000 0.000 0.000
0.000 2.442 1.741
2.442 0.000 1.741
0.000 0.000 1.741
2.442 2.442 0.000
```